An optimized crystal structure of BiSb2Cl. Source: Alexandria, functional PBE.

Properties
The final energy is -3.434 eV per atom. As for the crystal system: cubic. The raw formation energy is 23 kJ/mol of formula units. The value obtained for the volume is 27.06 Å³/atom. The calculation puts the energy above the most stable polymorph in this dataset at 140.0 meV per atom.

a = 7.565 Å, b = 7.565 Å, c = 7.565 Å
α = 90.00°, β = 90.00°, γ = 90.00°
Space group Fm-3m (No. 225)
One atom of each set of equivalent atoms:
Bi: 0.000 0.000 0.000 x4
Sb: 0.250 0.250 0.250 x8
Cl: 0.000 0.000 0.500 x4

***

An optimized crystal structure of Bi4Sb2Cl3. Source: Alexandria, functional PBE.

Properties
The final energy is -3.544 eV per atom. As for the crystal system: monoclinic. The raw formation energy is -250 kJ/mol of formula units. The value obtained for the volume is 35.12 Å³/atom.

a = 12.596 Å, b = 13.955 Å, c = 7.228 Å
α = 90.00°, β = 95.60°, γ = 90.00°
Space group C2/c (No. 15)
One atom of each set of equivalent atoms:
Bi: 0.053 0.248 0.462 x8
Bi: 0.169 0.092 0.920 x8
Sb: 0.243 0.114 0.536 x8
Cl: 0.000 0.017 0.250 x4
Cl: 0.150 0.346 0.898 x8

***

An optimized crystal structure of BiSbCl3. Source: Alexandria, functional PBE.

Properties
The final energy is -2.816 eV per atom. As for the crystal system: cubic. The raw formation energy is -52 kJ/mol of formula units. The value obtained for the volume is 32.37 Å³/atom. The calculation puts the energy above the most stable polymorph in this dataset at 57.1 meV per atom.

a = 5.450 Å, b = 5.450 Å, c = 5.450 Å
α = 90.00°, β = 90.00°, γ = 90.00°
Space group Pm-3m (No. 221)
One atom of each set of equivalent atoms:
Bi: 0.000 0.000 0.000 x1
Sb: 0.500 0.500 0.500 x1
Cl: 0.000 0.500 0.500 x3

***

Table of M_tot (μB/cell), in record order: 0.0, 0.0, 2.6